Entry from Alexandria via LeMat-Bulk: an optimized crystal structure of CuSi2TcTe (PBE).

Structure (POSCAR):
```
CuSi2TcTe
1.0
-0.662 0.326 4.450
0.551 -5.620 0.493
4.440 0.491 0.624
Si Tc Te Cu
2 1 1 1
direct
0.500 0.000 0.000
0.000 0.000 0.500
0.000 0.000 0.000
0.000 0.500 0.000
0.500 0.500 0.500
```

Results
Total magnetization: 0.000 μB/atom
Uncorrected energy: -5.05 eV per atom
ΔE_f (raw): 0.640 eV/atom
SG: P4/mmm
Fermi-level density of states: 3.37 states/eV/f.u.
Crystal system: tetragonal



Entry from Alexandria via LeMat-Bulk: an optimized crystal structure of VCuSiTc (PBE).

Structure (POSCAR):
```
VCuSiTc
1.0
4.190 0.000 0.000
2.095 3.629 0.000
2.095 1.210 3.421
Si V Tc Cu
1 1 1 1
direct
0.750 0.750 0.750
0.250 0.250 0.250
0.000 0.000 0.000
0.500 0.500 0.500
```

Results
Total magnetization: 0.000 μB/atom
Uncorrected energy: -7.43 eV per atom
ΔE_f (raw): -0.175 eV/atom
SG: F-43m
Fermi-level density of states: 4.32 states/eV/f.u.
Crystal system: cubic



Entry from Alexandria via LeMat-Bulk: an optimized crystal structure of ZrCu2SiTc (PBE).

Structure (POSCAR):
```
ZrCu2SiTc
1.0
-4.245 0.016 0.510
0.391 -3.083 3.349
0.356 3.155 2.864
Zr Tc Cu Si
1 1 2 1
direct
0.500 0.500 0.500
0.000 0.500 0.000
0.000 0.000 0.500
0.500 0.000 0.000
0.000 0.000 0.000
```

Results
Total magnetization: 0.000 μB/atom
Uncorrected energy: -6.22 eV per atom
ΔE_f (raw): 0.289 eV/atom
SG: P4/mmm
Fermi-level density of states: 3.71 states/eV/f.u.
Crystal system: tetragonal



Entry from Alexandria via LeMat-Bulk: an optimized crystal structure of CuSi2Te4 (PBE).

Structure (POSCAR):
```
CuSi2Te4
1.0
-5.865 0.900 -0.637
-0.481 -5.190 -2.907
-0.966 -2.729 5.033
Si Te Cu
2 4 1
direct
0.000 0.500 0.500
0.500 0.000 0.500
0.737 0.263 0.771
0.263 0.737 0.771
0.737 0.737 0.229
0.263 0.263 0.229
0.000 0.000 0.000
```

Results
Total magnetization: 0.000 μB/atom
Uncorrected energy: -3.89 eV per atom
ΔE_f (raw): 0.043 eV/atom
SG: P-42m
Fermi-level density of states: 2.04 states/eV/f.u.
Crystal system: tetragonal



Entry from Alexandria via LeMat-Bulk: an optimized crystal structure of Cu4SiTe (PBE).

Structure (POSCAR):
```
Cu4SiTe
1.0
1.546 -2.541 4.075
-2.168 0.850 4.475
-2.979 -3.508 2.066
Cu Te Si
4 1 1
direct
0.376 0.376 0.872
0.872 0.376 0.376
0.376 0.376 0.376
0.376 0.872 0.376
0.000 0.000 0.000
0.750 0.750 0.750
```

Results
Total magnetization: 0.000 μB/atom
Uncorrected energy: -3.87 eV per atom
ΔE_f (raw): 0.284 eV/atom
SG: F-43m
Fermi-level density of states: 4.59 states/eV/f.u.
Crystal system: cubic



Entry from Alexandria via LeMat-Bulk: an optimized crystal structure of Cu2SiTe3 (PBE).

Structure (POSCAR):
```
Cu2SiTe3
1.0
7.181 0.033 -1.341
-2.714 6.649 -1.341
0.002 0.003 13.394
Cu Te Si
8 12 4
direct
0.759 0.921 0.662
0.411 0.589 0.000
0.847 0.509 0.838
0.917 0.083 0.000
0.667 0.333 0.500
0.161 0.839 0.500
0.079 0.241 0.338
0.491 0.153 0.162
0.786 0.702 0.495
0.626 0.534 0.163
0.466 0.374 0.837
0.298 0.214 0.505
0.703 0.130 0.332
0.870 0.297 0.668
0.212 0.621 0.337
0.952 0.879 0.832
0.379 0.788 0.663
0.041 0.457 0.005
0.543 0.959 0.995
0.121 0.048 0.168
0.014 0.680 0.167
0.320 0.986 0.833
0.597 0.762 0.333
0.238 0.403 0.667
```

Results
Total magnetization: 0.000 μB/atom
Uncorrected energy: -3.91 eV per atom
ΔE_f (raw): -0.072 eV/atom
SG: Fdd2
Fermi-level density of states: 0.42 states/eV/f.u.
Crystal system: orthorhombic



Question: Number 1 is which compound?
Answer: CuSi2TcTe



What did the fifth record say?
Entry from Alexandria via LeMat-Bulk: an optimized crystal structure of Cu4SiTe (PBE).

Structure (POSCAR):
```
Cu4SiTe
1.0
1.546 -2.541 4.075
-2.168 0.850 4.475
-2.979 -3.508 2.066
Cu Te Si
4 1 1
direct
0.376 0.376 0.872
0.872 0.376 0.376
0.376 0.376 0.376
0.376 0.872 0.376
0.000 0.000 0.000
0.750 0.750 0.750
```

Results
Total magnetization: 0.000 μB/atom
Uncorrected energy: -3.87 eV per atom
ΔE_f (raw): 0.284 eV/atom
SG: F-43m
Fermi-level density of states: 4.59 states/eV/f.u.
Crystal system: cubic



Question: What is the uncorrected energy in the second record?
Answer: -7.43 eV per atom